1.
# InBiMo3 (PBE-GGA, relaxed)
# Spin magnetization ... 0.000 μB per formula unit
# Energy above the most stable polymorph in this dataset ... 0.0000 eV per atom
# Energy relative to the elements ... 10.87 eV/f.u.
data_InBiMo3
_cell_length_a 4.952
_cell_length_b 4.952
_cell_length_c 4.952
_cell_angle_alpha 90.00
_cell_angle_beta 90.00
_cell_angle_gamma 90.00
_symmetry_space_group_name_H-M 'P m -3 m'
_symmetry_Int_Tables_number 221
_symmetry_space_group_name_Hall '-P 4 2 3'
loop_
_atom_site_label
_atom_site_type_symbol
_atom_site_fract_x
_atom_site_fract_y
_atom_site_fract_z
_atom_site_occupancy
In1 In 0.000 0.000 0.000 1
Bi1 Bi 0.500 0.500 0.500 1
Mo1 Mo 0.000 0.000 0.500 1

---

2.
# Rb2InBiMo (PBE-GGA, relaxed)
# Spin magnetization ... 3.739 μB per formula unit
# Energy relative to the elements ... 4.05 eV/f.u.
data_Rb2InBiMo
_cell_length_a 6.883
_cell_length_b 6.883
_cell_length_c 5.393
_cell_angle_alpha 90.00
_cell_angle_beta 90.00
_cell_angle_gamma 90.00
_symmetry_space_group_name_H-M 'P 4/m m m'
_symmetry_Int_Tables_number 123
_symmetry_space_group_name_Hall '-P 4 2'
loop_
_atom_site_label
_atom_site_type_symbol
_atom_site_fract_x
_atom_site_fract_y
_atom_site_fract_z
_atom_site_occupancy
Rb1 Rb 0.000 0.500 0.000 1
In1 In 0.000 0.000 0.500 1
Bi1 Bi 0.500 0.500 0.500 1
Mo1 Mo 0.500 0.500 0.000 1

---

3.
# In2ReBiMo (PBE-GGA, relaxed)
# Spin magnetization ... 5.469 μB per formula unit
# Energy relative to the elements ... 6.37 eV/f.u.
data_In2ReBiMo
_cell_length_a 5.266
_cell_length_b 5.266
_cell_length_c 5.240
_cell_angle_alpha 90.00
_cell_angle_beta 90.00
_cell_angle_gamma 90.00
_symmetry_space_group_name_H-M 'P 4/m m m'
_symmetry_Int_Tables_number 123
_symmetry_space_group_name_Hall '-P 4 2'
loop_
_atom_site_label
_atom_site_type_symbol
_atom_site_fract_x
_atom_site_fract_y
_atom_site_fract_z
_atom_site_occupancy
In1 In 0.000 0.500 0.000 1
Re1 Re 0.000 0.000 0.000 1
Bi1 Bi 0.000 0.000 0.500 1
Mo1 Mo 0.500 0.500 0.500 1

---

4.
# InBiMo2Rh (PBE-GGA, relaxed)
# Spin magnetization ... 3.780 μB per formula unit
# Energy relative to the elements ... 6.54 eV/f.u.
data_InBiMo2Rh
_cell_length_a 4.882
_cell_length_b 4.882
_cell_length_c 5.170
_cell_angle_alpha 90.00
_cell_angle_beta 90.00
_cell_angle_gamma 90.00
_symmetry_space_group_name_H-M 'P 4/m m m'
_symmetry_Int_Tables_number 123
_symmetry_space_group_name_Hall '-P 4 2'
loop_
_atom_site_label
_atom_site_type_symbol
_atom_site_fract_x
_atom_site_fract_y
_atom_site_fract_z
_atom_site_occupancy
In1 In 0.000 0.000 0.000 1
Bi1 Bi 0.500 0.500 0.000 1
Mo1 Mo 0.000 0.500 0.500 1
Rh1 Rh 0.500 0.500 0.500 1

---

5.
# ZnInBiMo2 (PBE-GGA, relaxed)
# Spin magnetization ... 5.181 μB per formula unit
# Energy relative to the elements ... 8.74 eV/f.u.
data_ZnInBiMo2
_cell_length_a 5.280
_cell_length_b 5.280
_cell_length_c 5.127
_cell_angle_alpha 90.00
_cell_angle_beta 90.00
_cell_angle_gamma 90.00
_symmetry_space_group_name_H-M 'P 4/m m m'
_symmetry_Int_Tables_number 123
_symmetry_space_group_name_Hall '-P 4 2'
loop_
_atom_site_label
_atom_site_type_symbol
_atom_site_fract_x
_atom_site_fract_y
_atom_site_fract_z
_atom_site_occupancy
Zn1 Zn 0.000 0.000 0.000 1
In1 In 0.500 0.500 0.000 1
Bi1 Bi 0.000 0.000 0.500 1
Mo1 Mo 0.000 0.500 0.500 1

---

6.
# InBi2N3 (PBE-GGA, relaxed)
# Spin magnetization ... 0.000 μB per formula unit
# Total DFT energy (no corrections) ... -5.33 eV/atom
data_InBi2N3
_cell_length_a 6.151
_cell_length_b 11.088
_cell_length_c 14.949
_cell_angle_alpha 90.00
_cell_angle_beta 94.71
_cell_angle_gamma 90.00
_symmetry_space_group_name_H-M 'C 1 2/c 1'
_symmetry_Int_Tables_number 15
_symmetry_space_group_name_Hall '-C 2yc'
loop_
_atom_site_label
_atom_site_type_symbol
_atom_site_fract_x
_atom_site_fract_y
_atom_site_fract_z
_atom_site_occupancy
In1 In 0.204 0.031 0.168 1
Bi1 Bi 0.191 0.329 0.639 1
Bi2 Bi 0.239 0.348 0.085 1
N1 N 0.000 0.143 0.250 1
N2 N 0.000 0.411 0.750 1
N3 N 0.093 0.139 0.621 1
N4 N 0.205 0.348 0.936 1